No. 1
A geometry-optimized Sr2CaFe structure. Source: Alexandria via LeMat-Bulk, functional PBE.

Cell lengths 13.9103, 3.9043, 6.0708 Å; angles 90.00, 115.85, 90.00 degrees
Last column: nearest neighbours and their distance in Å.
Space group Cm (No. 8)
Symmetry-distinct sites (fractional):
Sr1 0.0000 0.0000 0.0000  2 Fe 3.17
Sr2 0.1917 0.0000 0.6913  4 Fe 3.60-3.62, 2 Ca 3.84-3.85, 4 Sr 3.87-3.90
Ca1 0.3800 0.0000 0.3801  2 Fe 2.99
Fe1 0.1991 0.5000 0.1976  2 Ca 2.99, 2 Sr 3.17

Results
VASP energy, eV per atom: -3.01
E above lowest polymorph, kJ/mol of atoms: 5.2
E_form, eV per atom: 0.44

=====

No. 2
A geometry-optimized AcPdF structure. Source: Alexandria via LeMat-Bulk, functional PBE.

Cell lengths 3.6777, 3.6777, 9.9346 Å; angles 90.00, 90.00, 90.00 degrees
Last column: nearest neighbours and their distance in Å.
Space group I4mm (No. 107)
Symmetry-distinct sites (fractional):
Ac1 0.0000 0.0000 0.0000  4 F 2.75
Pd1 0.0000 0.0000 0.3153  1 F 2.72
F1 0.0000 0.0000 0.5891  1 Pd 2.72, 4 Ac 2.75

Results
VASP energy, eV per atom: -5.38
E above lowest polymorph, kJ/mol of atoms: 14.9
Uncorrected formation energy, meV per atom: -1652

=====

No. 3
A geometry-optimized ScBeFe2 structure. Source: Alexandria via LeMat-Bulk, functional PBE.

Cell lengths 3.7229, 3.7229, 16.0298 Å; angles 90.00, 90.00, 90.00 degrees
Last column: nearest neighbours and their distance in Å.
Space group I-42d (No. 122)
Symmetry-distinct sites (fractional):
Sc1 0.0000 0.0000 0.0000  4 Fe 2.58, 4 Be 2.63
Be1 0.0000 0.0000 0.5000  4 Fe 2.27
Fe1 0.1441 0.2500 0.6250  2 Fe 2.15, 2 Be 2.27

Results
VASP energy, eV per atom: -6.40
E_form, eV per atom: 0.34

=====

No. 4
A geometry-optimized Cr2SiTcH structure. Source: Alexandria via LeMat-Bulk, functional PBE.

Cell lengths 3.7156, 3.7156, 3.8616 Å; angles 90.00, 90.00, 90.00 degrees
Last column: nearest neighbours and their distance in Å.
Space group P4/mmm (No. 123)
Symmetry-distinct sites (fractional):
Cr1 0.0000 0.5000 0.0000  2 H 1.86
Si1 0.0000 0.0000 0.5000  4 Tc 2.63, 8 Cr 2.68
Tc1 0.5000 0.5000 0.5000  2 H 1.93
H1 0.5000 0.5000 0.0000  4 Cr 1.86, 2 Tc 1.93

Results
VASP energy, eV per atom: -7.70

=====

No. 5
A geometry-optimized LiBMo3 structure. Source: Alexandria via LeMat-Bulk, functional PBE.

Cell lengths 4.1010, 4.1010, 4.1010 Å; angles 90.00, 90.00, 90.00 degrees
Last column: nearest neighbours and their distance in Å.
Space group Pm-3m (No. 221)
Symmetry-distinct sites (fractional):
Li1 0.0000 0.0000 0.0000  6 Mo 2.05
B1 0.5000 0.5000 0.5000  12 Mo 2.90
Mo1 0.0000 0.0000 0.5000  2 Li 2.05

Results
VASP energy, eV per atom: -6.44
E above lowest polymorph, kJ/mol of atoms: 126.4
E_form, eV per atom: 1.78

=====

No. 6
A geometry-optimized AlS2NO structure. Source: Alexandria via LeMat-Bulk, functional PBE.

Cell lengths 3.8966, 3.8966, 4.2996 Å; angles 90.00, 90.00, 90.00 degrees
Last column: nearest neighbours and their distance in Å.
Space group P4/mmm (No. 123)
Symmetry-distinct sites (fractional):
Al1 0.0000 0.0000 0.0000  2 N 2.15
S1 0.0000 0.5000 0.5000  2 N 1.95
N1 0.0000 0.0000 0.5000  4 S 1.95, 2 Al 2.15
O1 0.5000 0.5000 0.0000  4 Al 2.76, 8 S 2.90

Results
VASP energy, eV per atom: -4.05
E above lowest polymorph, kJ/mol of atoms: 0.0
Uncorrected formation energy, meV per atom: 1007

=====

No. 7
A geometry-optimized CeHoSc2 structure. Source: Alexandria via LeMat-Bulk, functional PBE.

Cell lengths 3.4337, 4.6168, 6.8668 Å; angles 90.00, 90.00, 90.00 degrees
Last column: nearest neighbours and their distance in Å.
Space group Pmmm (No. 47)
Symmetry-distinct sites (fractional):
Ce1 0.0000 0.0000 0.0000  8 Sc 3.33, 2 Ho 3.43, 2 Ce 3.43
Ho1 0.0000 0.0000 0.5000  8 Sc 3.37, 2 Ce 3.43, 2 Ho 3.43
Sc1 0.5000 0.5000 0.2432  4 Ce 3.33, 4 Sc 3.34-3.53, 4 Ho 3.37

Results
VASP energy, eV per atom: -5.72
E above lowest polymorph, kJ/mol of atoms: 1.1
E_form, eV per atom: 0.08

=====

No. 8
A geometry-optimized Tb6Pr3Ho2Th structure. Source: Alexandria via LeMat-Bulk, functional PBE.

Cell lengths 6.2316, 10.7852, 11.9092 Å; angles 90.00, 100.05, 90.00 degrees
Last column: nearest neighbours and their distance in Å.
Space group C2/m (No. 12)
Symmetry-distinct sites (fractional):
Tb1 0.2471 0.1650 0.2450  1 Th 3.53, 2 Ho 3.55, 6 Tb 3.56-3.62, 3 Pr 3.63-3.65
Tb2 0.2478 0.0000 0.7548  1 Th 3.53, 2 Ho 3.55, 6 Tb 3.56-3.62, 3 Pr 3.63-3.65
Pr1 0.0000 0.1670 0.5000  6 Pr 3.59-3.60, 6 Tb 3.63-3.65
Pr2 0.0000 0.5000 0.5000  6 Pr 3.59-3.60, 6 Tb 3.63-3.65
Ho1 0.0000 0.3333 0.0000  6 Tb 3.55, 3 Ho 3.60, 3 Th 3.60
Th1 0.0000 0.0000 0.0000  6 Tb 3.53, 6 Ho 3.60

Results
VASP energy, eV per atom: -4.87
E_form, eV per atom: 0.02

=====

No. 9
A geometry-optimized Ac3Sb4Rh7 structure. Source: Alexandria via LeMat-Bulk, functional PBE.

Cell lengths 16.3551, 4.4673, 10.2687 Å; angles 90.00, 126.67, 90.00 degrees
Last column: nearest neighbours and their distance in Å.
Space group C2/m (No. 12)
Symmetry-distinct sites (fractional):
Ac1 0.0000 0.0000 0.0000  6 Rh 3.18-3.47, 6 Sb 3.31-3.51
Ac2 0.1694 0.5000 0.6760  8 Rh 3.12-3.23, 4 Sb 3.35-3.42
Sb1 0.1269 0.0000 0.3993  6 Rh 2.72-2.86
Sb2 0.1732 0.5000 0.0225  5 Rh 2.65-2.80
Rh1 0.0000 0.0000 0.5000  2 Sb 2.82, 6 Rh 2.90-3.15, 4 Ac 3.15
Rh2 0.0091 0.5000 0.2927  3 Sb 2.72-2.80, 3 Rh 2.81-2.84
Rh3 0.1236 0.0000 0.8515  3 Sb 2.65-2.75, 3 Rh 2.84-2.90
Rh4 0.1801 0.5000 0.2905  4 Sb 2.69-2.86, 1 Rh 2.81

Results
VASP energy, eV per atom: -6.44
Uncorrected formation energy, meV per atom: -707

=====

No. 10
A geometry-optimized Li3HfHg structure. Source: Alexandria via LeMat-Bulk, functional PBE.

Cell lengths 4.7095, 4.7095, 4.7095 Å; angles 90.00, 90.00, 90.00 degrees
Last column: nearest neighbours and their distance in Å.
Space group Pm-3m (No. 221)
Symmetry-distinct sites (fractional):
Li1 0.0000 0.0000 0.5000  2 Hg 2.35
Hf1 0.5000 0.5000 0.5000  12 Li 3.33
Hg1 0.0000 0.0000 0.0000  6 Li 2.35

Results
VASP energy, eV per atom: -2.65
E above lowest polymorph, kJ/mol of atoms: 0.0
E_form, eV per atom: 0.55

=====

No. 11
A geometry-optimized Ac3ThTe4 structure. Source: Alexandria via LeMat-Bulk, functional PBE.

Cell lengths 4.4760, 4.4760, 32.9983 Å; angles 90.00, 90.00, 120.00 degrees
Last column: nearest neighbours and their distance in Å.
Space group P6_3/mmc (No. 194)
Symmetry-distinct sites (fractional):
Ac1 0.0000 0.0000 0.0000  6 Te 3.34
Ac2 0.3333 0.6667 0.1277  6 Te 3.33-3.34
Th1 0.3333 0.6667 0.7500  6 Te 3.22
Te1 0.0000 0.0000 0.1920  3 Th 3.22, 3 Ac 3.34
Te2 0.3333 0.6667 0.5641  6 Ac 3.33-3.34

Results
VASP energy, eV per atom: -5.38
E above lowest polymorph, kJ/mol of atoms: 0.5
Uncorrected formation energy, meV per atom: -1342

=====

No. 12
A geometry-optimized Mg2NiSb structure. Source: Alexandria via LeMat-Bulk, functional PBE.

Cell lengths 3.2716, 3.2716, 25.8422 Å; angles 90.00, 90.00, 120.00 degrees
Last column: nearest neighbours and their distance in Å.
Space group R-3m (No. 166, hexagonal axes)
Symmetry-distinct sites (fractional):
Mg1 0.0000 0.0000 0.2366  3 Ni 2.61
Ni1 0.0000 0.0000 0.5000  6 Mg 2.61
Sb1 0.0000 0.0000 0.0000  6 Mg 3.13, 6 Sb 3.27

Results
VASP energy, eV per atom: -3.25
Uncorrected formation energy, meV per atom: 26

=====

No. 13
A geometry-optimized Ho4ThMg3 structure. Source: Alexandria via LeMat-Bulk, functional PBE.

Cell lengths 3.6479, 3.6479, 16.9395 Å; angles 90.00, 90.00, 90.00 degrees
Last column: nearest neighbours and their distance in Å.
Space group P4/mmm (No. 123)
Symmetry-distinct sites (fractional):
Ho1 0.0000 0.0000 0.1140  8 Mg 3.22-3.30
Ho2 0.0000 0.0000 0.3608  4 Mg 3.34, 4 Th 3.49, 4 Ho 3.65
Th1 0.5000 0.5000 0.5000  8 Ho 3.49, 4 Th 3.65
Mg1 0.5000 0.5000 0.0000  8 Ho 3.22
Mg2 0.5000 0.5000 0.2358  8 Ho 3.30-3.34, 4 Mg 3.65

Results
VASP energy, eV per atom: -3.87
E_form, eV per atom: -0.05

=====

No. 14
A geometry-optimized Rb2ZrTc3O12 structure. Source: Alexandria via LeMat-Bulk, functional PBE.

Cell lengths 7.3289, 7.3289, 18.4579 Å; angles 90.00, 90.00, 120.00 degrees
Last column: nearest neighbours and their distance in Å.
Space group R-3m (No. 166, hexagonal axes)
Symmetry-distinct sites (fractional):
Rb1 0.0000 0.0000 0.1186  9 O 3.26-3.61
Zr1 0.0000 0.0000 0.5000  6 O 2.10
Tc1 0.0000 0.5000 0.0000  6 O 1.89-1.93
O1 0.0642 0.5321 0.1002  1 Tc 1.89, 1 Zr 2.10
O2 0.0829 0.5414 0.3481  2 Tc 1.93

Results
VASP energy, eV per atom: -7.35
Uncorrected formation energy, meV per atom: -1739

=====

No. 15
A geometry-optimized TaMn2Re structure. Source: Alexandria via LeMat-Bulk, functional PBE.

Cell lengths 2.7186, 2.7186, 7.4360 Å; angles 90.00, 90.00, 90.00 degrees
Last column: nearest neighbours and their distance in Å.
Space group P4mm (No. 99)
Symmetry-distinct sites (fractional):
Ta1 0.0000 0.0000 0.0000  4 Ta 2.72, 4 Mn 2.79, 4 Re 2.98
Mn1 0.0000 0.0000 0.4502  4 Mn 2.34
Mn2 0.5000 0.5000 0.2718  4 Mn 2.34
Re1 0.5000 0.5000 0.6941  4 Mn 2.64, 4 Re 2.72

Results
VASP energy, eV per atom: -10.59
E above lowest polymorph, kJ/mol of atoms: 8.6
E_form, eV per atom: 0.07

=====

No. 16
A geometry-optimized ScTi2Ni3 structure. Source: Alexandria via LeMat-Bulk, functional PBE.

Cell lengths 3.0692, 3.0692, 9.2463 Å; angles 90.00, 90.00, 90.00 degrees
Last column: nearest neighbours and their distance in Å.
Space group P4/mmm (No. 123)
Symmetry-distinct sites (fractional):
Sc1 0.0000 0.0000 0.0000  8 Ni 2.86, 4 Sc 3.07, 2 Ti 3.14
Ti1 0.0000 0.0000 0.3391  8 Ni 2.52-2.63
Ni1 0.5000 0.5000 0.2017  4 Ti 2.52, 1 Ni 2.76
Ni2 0.5000 0.5000 0.5000  8 Ti 2.63, 2 Ni 2.76

Results
VASP energy, eV per atom: -6.99
E_form, eV per atom: -0.41

=====

No. 17
A geometry-optimized Li2Y2ScCd5 structure. Source: Alexandria via LeMat-Bulk, functional PBE.

Cell lengths 10.5383, 10.5383, 3.9421 Å; angles 90.00, 90.00, 90.00 degrees
Last column: nearest neighbours and their distance in Å.
Space group P4/mbm (No. 127)
Symmetry-distinct sites (fractional):
Li1 0.1172 0.3828 0.0000  6 Cd 2.63-2.76
Y1 0.1804 0.6804 0.0000  3 Li 3.02-3.21, 2 Cd 3.33
Sc1 0.0000 0.0000 0.0000  8 Cd 3.02
Cd1 0.0000 0.5000 0.5000  4 Li 2.63
Cd2 0.0584 0.2086 0.5000  2 Li 2.76, 2 Sc 3.02

Results
VASP energy, eV per atom: -3.04
E_form, eV per atom: -0.28

=====

No. 18
A geometry-optimized Ba2TcAu structure. Source: Alexandria via LeMat-Bulk, functional PBE.

Cell lengths 3.7964, 3.7964, 8.5616 Å; angles 90.00, 90.00, 90.00 degrees
Last column: nearest neighbours and their distance in Å.
Space group P4/mmm (No. 123)
Symmetry-distinct sites (fractional):
Ba1 0.0000 0.0000 0.2467  4 Tc 3.42, 4 Au 3.45, 4 Ba 3.80
Tc1 0.5000 0.5000 0.0000  8 Ba 3.42, 4 Tc 3.80
Au1 0.5000 0.5000 0.5000  8 Ba 3.45, 4 Au 3.80

Results
VASP energy, eV per atom: -4.01
E above lowest polymorph, kJ/mol of atoms: 19.7
E_form, eV per atom: 0.36

=====

No. 19
A geometry-optimized Dy6HoTm3 structure. Source: Alexandria via LeMat-Bulk, functional PBE.

Cell lengths 9.5608, 20.7237, 6.3038 Å; angles 90.00, 90.00, 90.00 degrees
Last column: nearest neighbours and their distance in Å.
Space group Cmc2_1 (No. 36)
Symmetry-distinct sites (fractional):
Dy1 0.0000 0.0155 0.0000  4 Dy 3.22-3.55, 1 Ho 3.26, 4 Tm 3.49-3.51
Dy2 0.0000 0.3007 0.9668  1 Tm 3.12, 1 Ho 3.24, 2 Dy 3.38
Dy3 0.1764 0.2808 0.5076  2 Tm 3.23-3.37, 3 Dy 3.37-3.53, 2 Ho 3.53-3.59
Dy4 0.1812 0.4403 0.7503  3 Tm 3.31-3.49, 4 Dy 3.47-3.64
Ho1 0.0000 0.1608 0.1962  6 Dy 3.24-3.59, 2 Tm 3.47
Tm1 0.0000 0.4189 0.2743  5 Dy 3.12-3.49, 2 Tm 3.36
Tm2 0.1688 0.1260 0.6704  2 Tm 3.23-3.36, 5 Dy 3.23-3.51, 1 Ho 3.47

Results
VASP energy, eV per atom: -4.43
E above lowest polymorph, kJ/mol of atoms: 0.0
E_form, eV per atom: 0.13

=====

No. 20
A geometry-optimized KTc3Rh structure. Source: Alexandria via LeMat-Bulk, functional PBE.

Cell lengths 4.8271, 4.8271, 4.8271 Å; angles 90.00, 90.00, 90.00 degrees
Last column: nearest neighbours and their distance in Å.
Space group Pm-3m (No. 221)
Symmetry-distinct sites (fractional):
K1 0.0000 0.0000 0.0000  12 Tc 3.41
Tc1 0.0000 0.5000 0.5000  2 Rh 2.41
Rh1 0.5000 0.5000 0.5000  6 Tc 2.41

Results
VASP energy, eV per atom: -6.08
E above lowest polymorph, kJ/mol of atoms: 0.0
E_form, eV per atom: 1.83

=====

No. 21
A geometry-optimized AlNi structure. Source: Alexandria via LeMat-Bulk, functional PBE.

Cell lengths 8.4378, 8.4378, 3.4452 Å; angles 90.00, 90.00, 90.00 degrees
Last column: nearest neighbours and their distance in Å.
Space group I4/m (No. 87)
Symmetry-distinct sites (fractional):
Al1 0.1254 0.2015 0.0000  4 Ni 2.38-2.46
Ni1 0.0913 0.6155 0.0000  4 Al 2.38-2.46, 5 Ni 2.46-2.48

Results
VASP energy, eV per atom: -4.94
E_form, eV per atom: -0.18

=====

No. 22
A geometry-optimized NpReP2Ir structure. Source: Alexandria via LeMat-Bulk, functional PBE.

Cell lengths 4.0584, 4.0584, 9.9185 Å; angles 90.00, 90.00, 90.00 degrees
Last column: nearest neighbours and their distance in Å.
Space group I-4m2 (No. 119)
Symmetry-distinct sites (fractional):
Np1 0.0000 0.0000 0.0000  8 P 3.12, 4 Re 3.20, 4 Ir 3.20
Re1 0.0000 0.5000 0.7500  4 P 2.38
P1 0.0000 0.0000 0.3762  2 Re 2.38, 2 Ir 2.38, 1 P 2.46
Ir1 0.0000 0.5000 0.2500  4 P 2.38

Results
VASP energy, eV per atom: -9.52
E_form, eV per atom: -0.50

=====

No. 23
A geometry-optimized InBr2Cl structure. Source: Alexandria via LeMat-Bulk, functional PBE.

Cell lengths 6.7299, 11.8820, 7.1845 Å; angles 90.00, 108.08, 90.00 degrees
Last column: nearest neighbours and their distance in Å.
Space group Cm (No. 8)
Symmetry-distinct sites (fractional):
In1 0.0000 0.1667 0.0000  2 Cl 2.58-2.59, 4 Br 2.71-2.73
Br1 0.2129 0.0000 0.2358  2 In 2.71
Br2 0.2526 0.1745 0.7693  2 In 2.71-2.72
Br3 0.2705 0.5000 0.7714  2 In 2.73
Cl1 0.2568 0.3124 0.2131  2 In 2.58-2.59

Results
VASP energy, eV per atom: -2.89
E above lowest polymorph, kJ/mol of atoms: 0.0
Uncorrected formation energy, meV per atom: -910